The following is a DFT calculation (PBE) of a relaxed structure of MnCuNiHg.

Total moment, μB per cell: 15.67
Formation energy, eV per atom: 0.170

a = 6.137 Å, b = 6.137 Å, c = 6.137 Å
α = 90.00°, β = 90.00°, γ = 90.00°
Space group F-43m (No. 216)
Unique sites:
Mn  0.000  0.000  0.000 (multiplicity 4)
Cu  0.250  0.250  0.750 (multiplicity 4)
Ni  0.250  0.250  0.250 (multiplicity 4)
Hg  0.000  0.000  0.500 (multiplicity 4)

=====

The following is a DFT calculation (PBE) of a relaxed structure of Fe2CoRh2.

Total moment, μB per cell: 0.00
ΔE to the lowest computed polymorph, eV/atom: 0.265
Formation energy, eV per atom: 0.509

a = 7.006 Å, b = 7.006 Å, c = 2.621 Å
α = 90.00°, β = 90.00°, γ = 90.00°
Space group P4/mbm (No. 127)
Unique sites:
Fe  0.168  0.332  0.000 (multiplicity 4)
Co  0.000  0.000  0.500 (multiplicity 2)
Rh  0.131  0.631  0.500 (multiplicity 4)